(1)
Material: SiGeO2
Method: DFT, PBEsol
State: relaxed

Unit cell a=2.6920 b=2.6920 c=28.6460 alpha=90.00 beta=90.00 gamma=120.00
With the nearest neighbours (Å) after each atom.
Space group R-3m (No. 166, hexagonal axes)
Inequivalent atoms, fractional coordinates:
Si 0.0000 0.0000 0.0000 x3  6 O 1.80
Ge 0.0000 0.0000 0.5000 x3  6 Ge 2.69
O 0.0000 0.0000 0.3651 x6  3 Si 1.80

Output
Energy relative to the elements, uncorrected   -167 kJ/mol of atoms
Calculated volume   15.0 Å³ per atom



(2)
Material: SnGeO3
Method: DFT, PBEsol
State: relaxed

Unit cell a=15.3704 b=15.3704 c=7.1367 alpha=90.00 beta=90.00 gamma=120.00
With the nearest neighbours (Å) after each atom.
Space group R-3 (No. 148, hexagonal axes)
Inequivalent atoms, fractional coordinates:
Sn 0.0391 0.2494 0.4726 x18  3 O 2.20-2.32
Ge 0.0413 0.2226 0.9795 x18  4 O 1.75-1.78
O 0.0013 0.7409 0.2178 x18  1 Ge 1.76
O 0.0128 0.4505 0.8067 x18  1 Ge 1.75
O 0.0586 0.8769 0.8943 x18  2 Ge 1.77-1.78

Output
Energy relative to the elements, uncorrected   -146 kJ/mol of atoms
Calculated volume   16.2 Å³ per atom



(3)
Material: SnGeO3
Method: DFT, PBEsol
State: relaxed

Unit cell a=4.0086 b=4.0086 c=4.0086 alpha=90.00 beta=90.00 gamma=90.00
With the nearest neighbours (Å) after each atom.
Space group Pm-3m (No. 221)
Inequivalent atoms, fractional coordinates:
Sn 0.0000 0.0000 0.0000 x1  6 O 2.00
Ge 0.5000 0.5000 0.5000 x1  12 O 2.83
O 0.0000 0.0000 0.5000 x3  2 Sn 2.00

Output
Energy relative to the elements, uncorrected   -98 kJ/mol of atoms
Calculated volume   12.9 Å³ per atom



(4)
Material: SnGe2O6
Method: DFT, PBEsol
State: relaxed

Unit cell a=10.0101 b=9.0520 c=5.5994 alpha=90.00 beta=109.39 gamma=90.00
With the nearest neighbours (Å) after each atom.
Space group C2/c (No. 15)
Inequivalent atoms, fractional coordinates:
Sn 0.0000 0.1030 0.2500 x4  6 O 1.99-2.14
Ge 0.1981 0.4125 0.2430 x8  4 O 1.73-1.80
O 0.1120 0.0709 0.6377 x8  1 Ge 1.80
O 0.1291 0.4851 0.4661 x8  2 Ge 1.74
O 0.1519 0.2278 0.1973 x8  1 Ge 1.73

Output
Energy relative to the elements, uncorrected   -156 kJ/mol of atoms
Calculated volume   13.3 Å³ per atom



(5)
Material: SnGe3O
Method: DFT, PBEsol
State: relaxed

Unit cell a=5.2168 b=5.2168 c=5.2168 alpha=90.00 beta=90.00 gamma=90.00
With the nearest neighbours (Å) after each atom.
Space group Pm-3m (No. 221)
Inequivalent atoms, fractional coordinates:
Sn 0.0000 0.0000 0.0000 x1  6 Ge 2.61
Ge 0.0000 0.0000 0.5000 x3  2 Sn 2.61
O 0.5000 0.5000 0.5000 x1  12 Ge 3.69

Output
Energy relative to the elements, uncorrected   132 kJ/mol of atoms
Calculated volume   28.4 Å³ per atom



(6)
Material: SnGeO3
Method: DFT, PBEsol
State: relaxed

Unit cell a=11.6208 b=7.1407 c=13.2209 alpha=90.00 beta=119.63 gamma=90.00
With the nearest neighbours (Å) after each atom.
Space group P2/c (No. 13)
Inequivalent atoms, fractional coordinates:
Sn 0.0795 0.1267 0.1662 x4  2 O 2.08-2.20
Sn 0.2846 0.1817 0.5974 x4  3 O 2.15-2.34
Sn 0.3768 0.4698 0.3226 x4  3 O 2.18-2.25
Ge 0.0463 0.3759 0.6548 x4  4 O 1.75-1.78
Ge 0.2488 0.3316 0.0439 x4  4 O 1.75-1.78
Ge 0.3530 0.0912 0.8886 x4  4 O 1.71-1.78
O 0.0000 0.2667 0.7500 x2  2 Ge 1.78
O 0.1017 0.4650 0.9644 x4  2 Ge 1.78
O 0.1098 0.1857 0.6141 x4  1 Ge 1.75
O 0.1581 0.4393 0.2176 x4  1 Ge 1.75
O 0.2234 0.1277 0.1040 x4  1 Ge 1.75
O 0.2401 0.0877 0.3326 x4  1 Ge 1.71
O 0.3099 0.2866 0.9474 x4  2 Ge 1.77-1.78
O 0.3597 0.4853 0.1510 x4  1 Ge 1.75
O 0.3835 0.2218 0.7900 x4  1 Ge 1.78
O 0.5000 0.0000 0.0000 x2  2 Ge 1.74

Output
Energy relative to the elements, uncorrected   -144 kJ/mol of atoms
Calculated volume   15.9 Å³ per atom



(7)
Material: Sn3GeO
Method: DFT, PBEsol
State: relaxed

Unit cell a=4.7730 b=4.7730 c=4.7730 alpha=90.00 beta=90.00 gamma=90.00
With the nearest neighbours (Å) after each atom.
Space group Pm-3m (No. 221)
Inequivalent atoms, fractional coordinates:
Sn 0.0000 0.0000 0.5000 x3  2 O 2.39
Ge 0.5000 0.5000 0.5000 x1  12 Sn 3.38
O 0.0000 0.0000 0.0000 x1  6 Sn 2.39

Output
Energy relative to the elements, uncorrected   -18 kJ/mol of atoms
Calculated volume   21.7 Å³ per atom



(8)
Material: SrGeO3
Method: DFT, PBEsol
State: relaxed

Unit cell a=3.8065 b=3.8065 c=3.8065 alpha=90.00 beta=90.00 gamma=90.00
With the nearest neighbours (Å) after each atom.
Space group Pm-3m (No. 221)
Inequivalent atoms, fractional coordinates:
Sr 0.0000 0.0000 0.0000 x1  12 O 2.69
Ge 0.5000 0.5000 0.5000 x1  6 O 1.90
O 0.0000 0.5000 0.5000 x3  2 Ge 1.90

Output
Energy relative to the elements, uncorrected   -220 kJ/mol of atoms
Calculated volume   11.0 Å³ per atom



(9)
Material: SrGeO3
Method: DFT, PBEsol
State: relaxed

Unit cell a=12.5165 b=7.2408 c=11.2464 alpha=90.00 beta=111.35 gamma=90.00
With the nearest neighbours (Å) after each atom.
Space group C2/c (No. 15)
Inequivalent atoms, fractional coordinates:
Sr 0.0856 0.2447 0.4994 x8  8 O 2.45-2.72
Sr 0.2500 0.2500 0.0000 x4  8 O 2.46-2.73
Ge 0.0000 0.1554 0.7500 x4  4 O 1.72-1.81
Ge 0.1302 0.4517 0.2466 x8  4 O 1.72-1.81
O 0.0000 0.3464 0.2500 x4  2 Ge 1.81
O 0.0511 0.0613 0.9005 x8  1 Ge 1.72
O 0.1180 0.2991 0.7487 x8  2 Ge 1.81
O 0.1249 0.4065 0.0941 x8  1 Ge 1.72
O 0.2280 0.4041 0.3965 x8  1 Ge 1.72

Output
Energy relative to the elements, uncorrected   -226 kJ/mol of atoms
Calculated volume   15.8 Å³ per atom



(10)
Material: SrGeO3
Method: DFT, PBEsol
State: relaxed

Unit cell a=8.6283 b=9.9331 c=11.1535 alpha=73.92 beta=89.92 gamma=77.92
With the nearest neighbours (Å) after each atom.
Space group P-1 (No. 2)
Inequivalent atoms, fractional coordinates:
Sr 0.0686 0.1482 0.1564 x2  6 O 2.44-2.64
Sr 0.0999 0.1487 0.5156 x2  6 O 2.46-2.63
Sr 0.2484 0.4979 0.0103 x2  8 O 2.53-2.79
Sr 0.2488 0.5023 0.5087 x2  8 O 2.54-2.80
Sr 0.4158 0.8511 0.3368 x2  5 O 2.45-2.57
Sr 0.4233 0.8429 0.9860 x2  5 O 2.42-2.58
Ge 0.0031 0.4954 0.7508 x2  4 O 1.72-1.83
Ge 0.1064 0.7913 0.2169 x2  4 O 1.73-1.81
Ge 0.2412 0.2030 0.8616 x2  4 O 1.74-1.81
Ge 0.2542 0.7954 0.7110 x2  4 O 1.73-1.81
Ge 0.3988 0.2034 0.3596 x2  4 O 1.73-1.81
Ge 0.4974 0.5064 0.7488 x2  4 O 1.72-1.83
O 0.0032 0.5872 0.8610 x2  1 Ge 1.72
O 0.0426 0.4139 0.4047 x2  1 Ge 1.72
O 0.0756 0.8978 0.6351 x2  1 Ge 1.73
O 0.0908 0.1071 0.8434 x2  2 Ge 1.81
O 0.1245 0.6268 0.1761 x2  2 Ge 1.79-1.83
O 0.1325 0.7616 0.3772 x2  1 Ge 1.74
O 0.1862 0.3686 0.7388 x2  2 Ge 1.80-1.83
O 0.2324 0.8982 0.1409 x2  1 Ge 1.73
O 0.2430 0.7590 0.8722 x2  1 Ge 1.74
O 0.2511 0.2404 0.0044 x2  1 Ge 1.74
O 0.2709 0.1011 0.3305 x2  1 Ge 1.73
O 0.3139 0.6288 0.6730 x2  2 Ge 1.79-1.82
O 0.3658 0.2408 0.5020 x2  1 Ge 1.74
O 0.3819 0.3674 0.2369 x2  2 Ge 1.79-1.83
O 0.4016 0.8959 0.6461 x2  2 Ge 1.81
O 0.4220 0.0956 0.8453 x2  1 Ge 1.74
O 0.4542 0.5872 0.3598 x2  1 Ge 1.72
O 0.4955 0.4150 0.9043 x2  1 Ge 1.72

Output
Energy relative to the elements, uncorrected   -227 kJ/mol of atoms
Calculated volume   14.9 Å³ per atom



(11)
Material: Sr3Y2Ge3O12
Method: DFT, PBEsol
State: relaxed

Unit cell a=13.0681 b=13.0681 c=13.0681 alpha=90.00 beta=90.00 gamma=90.00
With the nearest neighbours (Å) after each atom.
Space group Ia-3d (No. 230)
Inequivalent atoms, fractional coordinates:
Sr 0.0000 0.2500 0.1250 x24  8 O 2.55-2.67
Y 0.0000 0.0000 0.0000 x16  6 O 2.24
Ge 0.0000 0.2500 0.3750 x24  4 O 1.78
O 0.0388 0.0523 0.6584 x96  1 Ge 1.78

Output
Energy relative to the elements, uncorrected   -262 kJ/mol of atoms
Calculated volume   13.9 Å³ per atom



(12)
Material: TaGe3O
Method: DFT, PBEsol
State: relaxed

Unit cell a=4.9369 b=4.9369 c=4.9369 alpha=90.00 beta=90.00 gamma=90.00
With the nearest neighbours (Å) after each atom.
Space group Pm-3m (No. 221)
Inequivalent atoms, fractional coordinates:
Ta 0.0000 0.0000 0.0000 x1  6 Ge 2.47
Ge 0.0000 0.0000 0.5000 x3  2 Ta 2.47
O 0.5000 0.5000 0.5000 x1  12 Ge 3.49

Output
Energy relative to the elements, uncorrected   87 kJ/mol of atoms
Calculated volume   24.1 Å³ per atom